Entry from the Alexandria database: a relaxed PtAu crystal (PBE-GGA).

Unit cell a=2.7878 b=11.8146 c=6.9069 alpha=90.00 beta=90.00 gamma=90.00
Element x y z (fractional)
Pt 0.0000 0.0000 0.0000
Pt 0.0000 0.5000 0.5000
Pt 0.5000 0.1143 0.2875
Pt 0.5000 0.3857 0.7875
Pt 0.5000 0.6143 0.7875
Pt 0.5000 0.8857 0.2875
Au 0.0000 0.0000 0.6107
Au 0.0000 0.2470 0.0302
Au 0.0000 0.2530 0.5302
Au 0.0000 0.5000 0.1107
Au 0.0000 0.7470 0.5302
Au 0.0000 0.7530 0.0302

Summary:
* final energy: -4.46 eV/atom
* calculated formation energy: 0.20 eV/atom
* crystal system: orthorhombic
* SG: Amm2 (38)

=====

Entry from the Alexandria database: a relaxed NiSe3 crystal (PBE-GGA).

Unit cell a=3.3389 b=3.6048 c=6.4656 alpha=90.00 beta=90.00 gamma=90.00
Element x y z (fractional)
Ni 0.0000 0.0000 0.0000
Se 0.0000 0.5000 0.4729
Se 0.5000 0.0000 0.7426
Se 0.5000 0.5000 0.1518

Summary:
* final energy: -3.86 eV/atom
* E_form (uncorrected): 0.2005 eV/atom
* crystal system: orthorhombic
* SG: Pmm2 (25)